Record 1
VASP calculation (SCAN) on MnCoAu2 at its PBEsol-relaxed geometry.

Values from the calculation:
* formation energy: -0.148 eV/atom
* space group: No. 8

Cell: 2.8577 4.6085 4.7729 Å, 105.12 107.42 90.00°
Last column: magnetic moment on the atom in μB.
Positions (direct):
Co 0.4852 0.5029 0.9705  1.85
Au 0.2384 0.7236 0.4768  0.06
Au 0.0096 0.0224 0.0192  0.03
Mn 0.7667 0.2511 0.5335  3.87

Record 2
VASP calculation (SCAN) on SrTlCl3 at its PBEsol-relaxed geometry.

Values from the calculation:
* space group: No. 221
* E_form (uncorrected): -1.97 eV per atom

Cell: 5.5489 5.5489 5.5489 Å, 90.00 90.00 90.00°
Positions (direct):
Cl 0.0000 0.5000 0.0000
Cl 0.0000 0.0000 0.5000
Cl 0.5000 0.0000 0.0000
Tl 0.5000 0.5000 0.5000
Sr 0.0000 0.0000 0.0000

Record 3
VASP calculation (SCAN) on SbINO2 at its PBEsol-relaxed geometry.

Values from the calculation:
* space group: No. 123
* E_form (uncorrected): 1.21 eV per atom

Cell: 4.0574 4.1739 4.1739 Å, 90.00 90.00 90.00°
Positions (direct):
N 0.0000 0.0000 0.0000
I 0.5000 0.0000 0.0000
O 0.0000 0.0000 0.5000
O 0.0000 0.5000 0.0000
Sb 0.5000 0.5000 0.5000

Record 4
VASP calculation (SCAN) on CrPbS2 at its PBEsol-relaxed geometry.

Values from the calculation:
* space group: No. 166
* E_form (uncorrected): -0.82 eV per atom

Cell: 3.4205 3.4205 8.4993 Å, 78.39 78.39 60.00°
Last column: magnetic moment on the atom in μB.
Positions (direct):
Pb 0.0000 0.0000 0.0000  0.02
S 0.8846 0.8846 0.3461  -0.08
S 0.1154 0.1154 0.6539  -0.08
Cr 0.5000 0.5000 0.5000  2.85

Record 5
VASP calculation (SCAN) on BeP2Cl at its PBEsol-relaxed geometry.

Values from the calculation:
* space group: No. 47
* E_form (uncorrected): 0.26 eV per atom
* energy above the most stable polymorph in this dataset: 0 meV per atom

Cell: 2.5416 3.2840 7.3853 Å, 90.00 90.00 90.00°
Positions (direct):
Be 0.5000 0.5000 0.5000
P 0.0000 0.0000 0.3412
P 0.0000 0.0000 0.6588
Cl 0.5000 0.5000 0.0000

Record 6
VASP calculation (SCAN) on TlPt2Au at its PBEsol-relaxed geometry.

Values from the calculation:
* formation energy: 0.103 eV/atom
* space group: No. 65

Cell: 2.9945 4.8629 4.8629 Å, 106.07 90.00 90.00°
Positions (direct):
Au 0.5000 0.5000 0.5000
Tl 0.5000 0.0000 0.0000
Pt 0.0000 0.0000 0.5000
Pt 0.0000 0.5000 0.0000

Record 7
VASP calculation (SCAN) on TaMn2Br at its PBEsol-relaxed geometry.

Values from the calculation:
* space group: No. 216
* E_form (uncorrected): 0.65 eV per atom

Cell: 4.4039 4.4039 4.4039 Å, 60.00 60.00 60.00°
Last column: magnetic moment on the atom in μB.
Positions (direct):
Mn 0.0000 0.0000 0.0000  2.81
Mn 0.7500 0.7500 0.7500  3.79
Br 0.5000 0.5000 0.5000  0.11
Ta 0.2500 0.2500 0.2500  -0.67

Record 8
VASP calculation (SCAN) on Sc2IrPt at its PBEsol-relaxed geometry.

Values from the calculation:
* formation energy: -0.779 eV/atom
* space group: No. 216

Cell: 4.5318 4.5318 4.5318 Å, 60.00 60.00 60.00°
Positions (direct):
Pt 0.2500 0.2500 0.2500
Sc 0.0000 0.0000 0.0000
Sc 0.7500 0.7500 0.7500
Ir 0.5000 0.5000 0.5000

Record 9
VASP calculation (SCAN) on LiFeCl3 at its PBEsol-relaxed geometry.

Values from the calculation:
* space group: No. 221
* E_form (uncorrected): -1.10 eV per atom

Cell: 4.7765 4.7765 4.7765 Å, 90.00 90.00 90.00°
Last column: magnetic moment on the atom in μB.
Positions (direct):
Cl 0.0000 0.0000 0.5000  0.09
Cl 0.0000 0.5000 0.0000  0.09
Cl 0.5000 0.0000 0.0000  0.09
Li 0.5000 0.5000 0.5000  0.00
Fe 0.0000 0.0000 0.0000  3.62

Record 10
VASP calculation (SCAN) on AlCu2Au at its PBEsol-relaxed geometry.

Values from the calculation:
* formation energy: -0.355 eV/atom
* space group: No. 139

Cell: 3.7133 3.7133 4.6905 Å, 113.32 113.32 90.00°
Positions (direct):
Cu 0.7500 0.2500 0.5000
Cu 0.2500 0.7500 0.5000
Au 0.0000 0.0000 0.0000
Al 0.5000 0.5000 0.0000

Record 11
VASP calculation (SCAN) on Mn2BeAs at its PBEsol-relaxed geometry.

Values from the calculation:
* formation energy: -0.068 eV/atom
* space group: No. 225

Cell: 3.9035 3.9035 3.9035 Å, 60.00 60.00 60.00°
Last column: magnetic moment on the atom in μB.
Positions (direct):
As 0.5000 0.5000 0.5000  -0.08
Mn 0.7500 0.7500 0.7500  1.39
Mn 0.2500 0.2500 0.2500  1.39
Be 0.0000 0.0000 0.0000  -0.07

Record 12
VASP calculation (SCAN) on B8O at its PBEsol-relaxed geometry.

Values from the calculation:
* space group: No. 6
* E_form (uncorrected): -0.60 eV per atom
* energy above the most stable polymorph in this dataset: 0 meV per atom

Cell: 5.1148 5.2924 7.3253 Å, 90.00 92.36 90.00°
Positions (direct):
B 0.3367 0.6693 0.3306
B 0.8528 0.7393 0.0648
B 0.6774 0.6700 0.6617
B 0.1371 0.7370 0.9416
B 0.6572 0.0000 0.0036
B 0.3681 0.2346 0.5591
B 0.6497 0.7825 0.4258
B 0.6774 0.3300 0.6617
B 0.3367 0.3307 0.3306
B 0.1571 0.8345 0.1745
B 0.1227 0.0000 0.8001
B 0.8528 0.2607 0.0648
B 0.3838 0.5000 0.7010
B 0.1571 0.1655 0.1745
B 0.1732 0.5000 0.4984
B 0.8507 0.0000 0.2204
B 0.8436 0.5000 0.4936
B 0.6497 0.2175 0.4258
B 0.1371 0.2630 0.9416
B 0.8302 0.8337 0.8337
B 0.8302 0.1663 0.8337
B 0.3277 0.0000 0.0056
B 0.3681 0.7654 0.5591
B 0.6247 0.5000 0.2956
O 0.2599 0.5000 0.8814
O 0.7361 0.5000 0.1171
O 0.2459 0.0000 0.6214

no.,total DFT energy (no corrections) (Ry per atom),M_tot (μB/atom),calculated volume (Å³/atom)
1,-3.2058,1.457,14.42
2,-1.8879,0.000,34.17
3,-1.3187,0.000,14.14
4,-2.1442,0.713,20.94
5,-0.5900,0.000,15.41
6,-5.1723,0.000,17.01
7,-2.2039,1.507,15.10
8,-3.1767,0.000,16.45
9,-0.7346,0.800,21.79
10,-1.9978,0.000,13.40
11,-1.1269,0.660,10.51
12,-0.5802,0.000,7.34